Here is a relaxed MgTlIr3 crystal from the Alexandria database. Energies are from PBE.

Cell lengths 4.5708, 4.5708, 4.5708 Å; angles 90.00, 90.00, 90.00 degrees
Closest atoms and distances in Å follow each position.
Fractional positions:
Tl: 0.5000 0.5000 0.5000  12 Ir 3.23
Ir: 0.0000 0.5000 0.0000  2 Mg 2.29
Ir: 0.0000 0.0000 0.5000  2 Mg 2.29
Ir: 0.5000 0.0000 0.0000  2 Mg 2.29
Mg: 0.0000 0.0000 0.0000  6 Ir 2.29

Computed properties:
offset from the most stable computed form	0.000	eV per atom
E_tot	-23.40	eV/f.u.
calculated volume	95	Å³ per cell
crystal system	cubic
total magnetization	0.00	Bohr magnetons per cell
theoretical density	14.00	g cm⁻³
D(E_F)	0.87	states/eV per atom
SG	No. 221

Here is a relaxed AcMnHN2 crystal from the Alexandria database. Energies are from PBE.

Cell lengths 3.7814, 3.8653, 3.8653 Å; angles 90.00, 90.00, 90.00 degrees
Closest atoms and distances in Å follow each position.
Fractional positions:
Ac: 0.5000 0.5000 0.5000  8 N 2.70, 4 H 2.73
Mn: 0.0000 0.0000 0.0000  2 H 1.89, 4 N 1.93
H: 0.5000 0.0000 0.0000  2 Mn 1.89
N: 0.0000 0.0000 0.5000  2 Mn 1.93
N: 0.0000 0.5000 0.0000  2 Mn 1.93

Computed properties:
E_tot	-36.34	eV/f.u.
calculated volume	56	Å³ per cell
crystal system	tetragonal
total magnetization	0.00	Bohr magnetons per cell
theoretical density	9.14	g cm⁻³
D(E_F)	0.49	states/eV per atom
SG	No. 123